In3MoBr | PBEsol | relaxed

```
In3MoBr
1.0
5.558 0.000 0.000
0.000 5.558 0.000
0.000 0.000 5.558
In Br Mo
3 1 1
direct
0.500 0.000 0.000
0.000 0.500 0.000
0.000 0.000 0.500
0.000 0.000 0.000
0.500 0.500 0.500
```

## Properties
Symmetry ... No. 221

InRhBrN2 | PBEsol | relaxed

```
InRhBrN2
1.0
-3.411 -1.656 0.178
0.533 -1.469 -3.459
2.546 -4.977 2.505
Rh In N Br
1 1 2 1
direct
0.500 0.500 0.500
0.000 0.000 0.500
0.000 0.500 0.000
0.500 0.000 0.000
0.000 0.000 0.000
```

## Properties
Symmetry ... No. 123

InSeBrN2 | PBEsol | relaxed

```
InSeBrN2
1.0
-3.755 -0.637 -1.119
-0.656 -2.024 3.351
-1.492 4.519 2.436
N Se Br In
2 1 1 1
direct
0.000 0.500 0.000
0.500 0.000 0.000
0.000 0.000 0.500
0.000 0.000 0.000
0.500 0.500 0.500
```

## Properties
Symmetry ... No. 123

| no. | formation energy (no corrections) (kJ/mol of formula units) |
| --- | --- |
| 1 | 633 |
| 2 | 1033 |
| 3 | 832 |